Record 1
The following is a DFT calculation (PBE) of a relaxed CuNi3N crystal.

Cell lengths 6.6329, 6.6329, 4.4080 Å; angles 90.00, 90.00, 136.99 degrees
Fractional positions:
1 Cu 0.8253 0.1747 0.7500
2 N 0.4357 0.5643 0.2500
3 Ni 0.9121 0.5952 0.7500
4 Ni 0.5952 0.9121 0.2500
5 Ni 0.0000 0.0000 0.5000
6 Ni 0.0000 0.0000 0.0000
7 Cu 0.1747 0.8253 0.2500
8 N 0.5643 0.4357 0.7500
9 Ni 0.0879 0.4048 0.2500
10 Ni 0.4048 0.0879 0.7500

## Properties
Uncorrected energy (Ry per atom): -0.384
Magnetization (μB/atom): 0.16
E above lowest polymorph (eV per formula unit): 3.71
Crystal system: orthorhombic

***

Record 2
The following is a DFT calculation (PBE) of a relaxed CuNiN2 crystal.

Cell lengths 3.6321, 3.6321, 3.6321 Å; angles 60.00, 60.00, 60.00 degrees
Fractional positions:
1 Cu 0.5000 0.5000 0.5000
2 N 0.7500 0.7500 0.7500
3 N 0.2500 0.2500 0.2500
4 Ni 0.0000 0.0000 0.0000

## Properties
Uncorrected energy (Ry per atom): -0.398
Magnetization (μB/atom): 0.00
E above lowest polymorph (eV per formula unit): 2.30
Crystal system: cubic

***

Record 3
The following is a DFT calculation (PBE) of a relaxed CuNiN3 crystal.

Cell lengths 3.6787, 3.6787, 3.6787 Å; angles 90.00, 90.00, 90.00 degrees
Fractional positions:
1 N 0.0000 0.0000 0.5000
2 Cu 0.5000 0.5000 0.5000
3 N 0.5000 0.0000 0.0000
4 Ni 0.0000 0.0000 0.0000
5 N 0.0000 0.5000 0.0000

## Properties
Uncorrected energy (Ry per atom): -0.374
Magnetization (μB/atom): 0.60
Crystal system: cubic

***

no.,raw formation energy (eV/atom)
1,0.731
2,1.223
3,1.885